Record 1
This record from Alexandria describes a relaxed structure of AuS4Br. The functional is GGA-PBE.

a = 7.1100 Å, b = 5.3774 Å, c = 11.6015 Å
α = 88.21°, β = 70.43°, γ = 52.48°
Element x y z (fractional)
Au 0.1381 0.1498 0.8190
Au 0.8619 0.8502 0.1810
S 0.7298 0.4105 0.8095
S 0.5700 0.8686 0.8079
S 0.6885 0.8174 0.5733
S 0.3115 0.1826 0.4267
S 0.1828 0.6075 0.4766
S 0.4300 0.1314 0.1921
S 0.8172 0.3925 0.5234
S 0.2702 0.5895 0.1905
Br 0.8657 0.3473 0.1741
Br 0.1343 0.6527 0.8259

Properties
- Raw formation energy: 0.019 eV/atom
- Symmetry: No. 2
- Crystal system: triclinic
- Density of states at the Fermi level: 0.6 states/eV/f.u.
- Total moment: 0.00 Bohr magnetons per cell


Record 2
This record from Alexandria describes a relaxed structure of Nd5DyEr2Th. The functional is GGA-PBE.

a = 5.4142 Å, b = 11.1609 Å, c = 10.6069 Å
α = 90.00°, β = 90.00°, γ = 104.04°
Element x y z (fractional)
Nd 0.3748 0.7496 0.0082
Nd 0.7219 0.4437 0.8152
Nd 0.5000 0.0001 0.7581
Nd 0.2784 0.5567 0.7016
Nd 0.0023 0.0047 0.5082
Nd 0.6252 0.2504 0.5082
Nd 0.2781 0.5563 0.3152
Nd 0.5000 0.9999 0.2581
Nd 0.7216 0.4433 0.2016
Nd 0.9977 0.9953 0.0082
Dy 0.6015 0.2030 0.0081
Dy 0.3985 0.7970 0.5081
Er 0.8871 0.7741 0.7541
Er 0.1131 0.2262 0.7623
Er 0.1129 0.2259 0.2541
Er 0.8869 0.7738 0.2623
Th 0.7866 0.5732 0.5084
Th 0.2134 0.4268 0.0084

Properties
- Symmetry: No. 63
- Crystal system: orthorhombic
- Density of states at the Fermi level: 12.9 states/eV/f.u.
- Formation energy from the elements: 143 meV/atom
- Total moment: 0.00 Bohr magnetons per cell


Record 3
This record from Alexandria describes a relaxed structure of CaBPt2Au. The functional is GGA-PBE.

a = 4.2927 Å, b = 4.2927 Å, c = 4.5753 Å
α = 90.00°, β = 90.00°, γ = 90.00°
Element x y z (fractional)
Ca 0.5000 0.5000 0.5000
B 0.0000 0.0000 0.0000
Au 0.0000 0.0000 0.5000
Pt 0.0000 0.5000 0.0000
Pt 0.5000 0.0000 0.0000

Properties
- Symmetry: No. 123
- Crystal system: tetragonal
- Density of states at the Fermi level: 2.7 states/eV/f.u.
- Formation energy from the elements: -494 meV/atom
- Total moment: 0.00 Bohr magnetons per cell


Record 4
This record from Alexandria describes a relaxed structure of MgHSN2. The functional is GGA-PBE.

a = 3.8901 Å, b = 3.8901 Å, c = 3.1308 Å
α = 90.00°, β = 90.00°, γ = 90.00°
Element x y z (fractional)
H 0.0000 0.0000 0.0000
S 0.0000 0.0000 0.5000
Mg 0.5000 0.5000 0.5000
N 0.0000 0.5000 0.0000
N 0.5000 0.0000 0.0000

Properties
- Symmetry: No. 123
- Crystal system: tetragonal
- Density of states at the Fermi level: 3.0 states/eV/f.u.
- Total moment: 0.13 Bohr magnetons per cell
- Relative energy among the computed polymorphs: 0.000 eV/atom